(1)
First-principles (PBE) data for a relaxed Ag4Ir crystal, as listed in Alexandria.

SG: Pm-3m, No. 221
ΔH_f (0 K) in eV/atom: 1.185
Magnetization in μB/f.u.: 0.9

Unit cell a=5.063 b=5.063 c=5.063 alpha=90.00 beta=90.00 gamma=90.00
Sites, in units of the cell vectors:
1 Ag 0.000 0.000 0.000
2 Ag 0.000 0.500 0.500
3 Ag 0.500 0.000 0.500
4 Ag 0.500 0.500 0.000
5 Ir 0.500 0.500 0.500

(2)
First-principles (PBE) data for a relaxed Y2ThUC4 crystal, as listed in Alexandria.

SG: P2/m, No. 10
ΔH_f (0 K) in eV/atom: -0.241
Magnetization in μB/f.u.: 0.0

Unit cell a=6.227 b=3.663 c=6.327 alpha=90.00 beta=109.68 gamma=90.00
Sites, in units of the cell vectors:
1 Y 0.000 0.000 0.000
2 Y 0.000 0.500 0.500
3 Th 0.500 0.000 0.500
4 U 0.500 0.500 0.000
5 C 0.273 0.500 0.227
6 C 0.274 0.000 0.774
7 C 0.726 0.000 0.226
8 C 0.727 0.500 0.773

(3)
First-principles (PBE) data for a relaxed CaSc4Hg5 crystal, as listed in Alexandria.

SG: P4/mmm, No. 123
ΔH_f (0 K) in eV/atom: -0.450
Magnetization in μB/f.u.: 0.0

Unit cell a=3.566 b=3.566 c=17.890 alpha=90.00 beta=90.00 gamma=90.00
Sites, in units of the cell vectors:
1 Ca 0.000 0.000 0.000
2 Sc 0.000 0.000 0.210
3 Sc 0.000 0.000 0.404
4 Sc 0.000 0.000 0.596
5 Sc 0.000 0.000 0.790
6 Hg 0.500 0.500 0.117
7 Hg 0.500 0.500 0.307
8 Hg 0.500 0.500 0.500
9 Hg 0.500 0.500 0.693
10 Hg 0.500 0.500 0.883

(4)
First-principles (PBE) data for a relaxed PHOsN crystal, as listed in Alexandria.

SG: Imm2, No. 44
Calculated total energy in eV per atom: -6.8945
Magnetization in μB/f.u.: 0.0

Unit cell a=5.204 b=5.204 c=5.204 alpha=148.03 beta=145.65 gamma=47.63
Sites, in units of the cell vectors:
1 P 0.000 0.000 0.000
2 H 0.411 0.411 0.000
3 Os 0.319 0.819 0.500
4 N 0.101 0.601 0.500

(5)
First-principles (PBE) data for a relaxed Mn4VCu crystal, as listed in Alexandria.

SG: F-43m, No. 216
ΔH_f (0 K) in eV/atom: 0.109
Magnetization in μB/f.u.: 1.4

Unit cell a=4.634 b=4.634 c=4.634 alpha=60.00 beta=60.00 gamma=60.00
Sites, in units of the cell vectors:
1 Mn 0.124 0.124 0.124
2 Mn 0.124 0.124 0.628
3 Mn 0.124 0.628 0.124
4 Mn 0.628 0.124 0.124
5 V 0.500 0.500 0.500
6 Cu 0.750 0.750 0.750

(6)
First-principles (PBE) data for a relaxed Pr2TmTh crystal, as listed in Alexandria.

SG: R-3m, No. 166
ΔH_f (0 K) in eV/atom: 0.187
Magnetization in μB/f.u.: 0.0

Unit cell a=12.849 b=12.849 c=12.849 alpha=15.73 beta=15.73 gamma=15.73
Sites, in units of the cell vectors:
1 Pr 0.090 0.090 0.090
2 Pr 0.910 0.910 0.910
3 Tm 0.500 0.500 0.500
4 Th 0.000 0.000 0.000

(7)
First-principles (PBE) data for a relaxed Li2Ge2Au crystal, as listed in Alexandria.

SG: P4/mbm, No. 127
ΔH_f (0 K) in eV/atom: -0.105
Magnetization in μB/f.u.: 0.0

Unit cell a=6.544 b=6.544 c=3.829 alpha=90.00 beta=90.00 gamma=90.00
Sites, in units of the cell vectors:
1 Li 0.142 0.358 0.000
2 Li 0.358 0.858 0.000
3 Li 0.642 0.142 0.000
4 Li 0.858 0.642 0.000
5 Ge 0.160 0.660 0.500
6 Ge 0.340 0.160 0.500
7 Ge 0.660 0.840 0.500
8 Ge 0.840 0.340 0.500
9 Au 0.000 0.000 0.000
10 Au 0.500 0.500 0.000

(8)
First-principles (PBE) data for a relaxed Pu2GaRh6 crystal, as listed in Alexandria.

SG: P-3m1, No. 164
ΔH_f (0 K) in eV/atom: -0.410
Magnetization in μB/f.u.: 7.6

Unit cell a=5.589 b=5.589 c=5.739 alpha=90.00 beta=90.00 gamma=120.00
Sites, in units of the cell vectors:
1 Pu 0.333 0.667 0.182
2 Pu 0.667 0.333 0.818
3 Ga 0.000 0.000 0.000
4 Rh 0.175 0.350 0.682
5 Rh 0.175 0.825 0.682
6 Rh 0.350 0.175 0.318
7 Rh 0.650 0.825 0.682
8 Rh 0.825 0.175 0.318
9 Rh 0.825 0.650 0.318